Record 1
Here is a crystal of Ta4InOs relaxed with PBEsol from the Alexandria database. Energies are from SCAN.

Computed properties:
Energy relative to the elements (kJ/mol of formula units): 191
DFT total energy (eV/atom): -61.604

a = 5.3244 Å, b = 5.3244 Å, c = 5.3244 Å
α = 60.00°, β = 60.00°, γ = 60.00°
Fractional coordinates of all 6 atoms:
In1 0.7500 0.7500 0.7500
Os1 0.0000 0.0000 0.0000
Ta1 0.3753 0.3753 0.8742
Ta2 0.3753 0.3753 0.3753
Ta3 0.8742 0.3753 0.3753
Ta4 0.3753 0.8742 0.3753

Record 2
Here is a crystal of TaInOs relaxed with PBEsol from the Alexandria database. Energies are from SCAN.

Computed properties:
Energy relative to the elements (kJ/mol of formula units): 50
DFT total energy (eV/atom): -57.111

a = 2.9161 Å, b = 4.4955 Å, c = 4.4955 Å
α = 120.00°, β = 90.00°, γ = 90.00°
Fractional coordinates of all 3 atoms:
Os1 0.6882 0.3333 0.6667
Ta1 0.3826 0.6667 0.3333
In1 0.9292 0.0000 0.0000

Record 3
Here is a crystal of Ta2InOs relaxed with PBEsol from the Alexandria database. Energies are from SCAN.

Computed properties:
Energy relative to the elements (kJ/mol of formula units): -20
DFT total energy (eV/atom): -59.661

a = 2.9655 Å, b = 4.0148 Å, c = 5.7290 Å
α = 90.00°, β = 90.00°, γ = 90.00°
Fractional coordinates of all 4 atoms:
Ta1 0.0000 0.0000 0.7297
Ta2 0.0000 0.0000 0.2703
In1 0.5000 0.5000 0.0000
Os1 0.5000 0.5000 0.5000

Record 4
Here is a crystal of InTcOs relaxed with PBEsol from the Alexandria database. Energies are from SCAN.

Computed properties:
Energy relative to the elements (kJ/mol of formula units): 85
DFT total energy (eV/atom): -46.483

a = 2.8343 Å, b = 2.8343 Å, c = 6.8252 Å
α = 90.00°, β = 90.00°, γ = 120.00°
Fractional coordinates of all 3 atoms:
Os1 0.3333 0.6667 0.6458
Tc1 0.6667 0.3333 0.3529
In1 0.0000 0.0000 0.0013

Record 5
Here is a crystal of In2Tc2Os relaxed with PBEsol from the Alexandria database. Energies are from SCAN.

Computed properties:
Energy relative to the elements (kJ/mol of formula units): 387
DFT total energy (eV/atom): -40.952

a = 3.3697 Å, b = 3.3697 Å, c = 8.2844 Å
α = 101.73°, β = 101.73°, γ = 90.00°
Fractional coordinates of all 5 atoms:
In1 0.4030 0.4030 0.8059
In2 0.5970 0.5970 0.1941
Os1 0.0000 0.0000 0.0000
Tc1 0.2500 0.7500 0.5000
Tc2 0.7500 0.2500 0.5000

Record 6
Here is a crystal of In2TcOs relaxed with PBEsol from the Alexandria database. Energies are from SCAN.

Computed properties:
Energy relative to the elements (kJ/mol of formula units): 261
DFT total energy (eV/atom): -42.751

a = 4.5627 Å, b = 4.5627 Å, c = 4.5627 Å
α = 60.00°, β = 60.00°, γ = 60.00°
Fractional coordinates of all 4 atoms:
In1 0.7500 0.7500 0.7500
In2 0.0000 0.0000 0.0000
Os1 0.5000 0.5000 0.5000
Tc1 0.2500 0.2500 0.2500

Record 7
Here is a crystal of InTe2Os relaxed with PBEsol from the Alexandria database. Energies are from SCAN.

Computed properties:
ΔE_f (raw) (eV/f.u.): 3.8
DFT total energy (eV/atom): -43.981

a = 3.3317 Å, b = 4.9703 Å, c = 5.1343 Å
α = 90.00°, β = 90.00°, γ = 90.00°
Fractional coordinates of all 4 atoms:
Te1 0.5000 0.0000 0.5000
Os1 0.0000 0.5000 0.5000
Te2 0.0000 0.0000 0.0000
In1 0.5000 0.5000 0.0000

Record 8
Here is a crystal of InTeOs relaxed with PBEsol from the Alexandria database. Energies are from SCAN.

Computed properties:
ΔE_f (raw) (eV/f.u.): 2.2
DFT total energy (eV/atom): -46.756

a = 3.0551 Å, b = 3.0551 Å, c = 7.7978 Å
α = 95.87°, β = 95.87°, γ = 118.53°
Fractional coordinates of all 3 atoms:
Te1 0.6903 0.6903 0.3805
Os1 0.3291 0.3291 0.6582
In1 0.9806 0.9806 0.9613